1.
Here is Mn2TlCr at its PBEsol-relaxed geometry from Alexandria via LeMat-Bulk. Energies are from meta-GGA SCAN.

Values from the calculation:
E: -31.484 eV/atom
Energy of formation: 31.78 kJ/mol of atoms
SG: R3m, No. 160
Energy relative to the lowest polymorph listed for this composition: 210 meV/atom
DOS at the Fermi energy: 0.5580 states/eV/atom
Magnetization: 4.06 μB/f.u.
Crystal system: trigonal

Cell: 8.2779 8.2779 8.2779 Å, 20.48 20.48 20.48°
Last column: nearest neighbours and their distance in Å.
Fractional coordinates of all 4 atoms:
Mn 0.0000 0.0000 0.0000  3 Cr 2.29, 3 Mn 2.48
Mn 0.2589 0.2589 0.2589  3 Mn 2.48
Tl 0.4945 0.4945 0.4945  3 Mn 2.92, 3 Cr 2.93, 6 Tl 2.94
Cr 0.7298 0.7298 0.7298  3 Mn 2.29

2.
Here is NaCa2Tl2 at its PBEsol-relaxed geometry from Alexandria via LeMat-Bulk. Energies are from meta-GGA SCAN.

Values from the calculation:
E: -33.724 eV/atom
Energy of formation: -6.97 kJ/mol of atoms
SG: I4/mmm, No. 139
Energy relative to the lowest polymorph listed for this composition: 385 meV/atom
DOS at the Fermi energy: 0.7272 states/eV/atom
Magnetization: 0.00 μB/f.u.
Crystal system: tetragonal

Cell: 9.1783 9.1783 9.1783 Å, 151.76 151.76 40.36°
Last column: nearest neighbours and their distance in Å.
Fractional coordinates of all 5 atoms:
Na 0.0000 0.0000 0.0000  8 Ca 3.71
Ca 0.3876 0.3876 0.0000  4 Tl 3.26
Ca 0.6124 0.6124 0.0000  4 Tl 3.26
Tl 0.2500 0.7500 0.5000  4 Tl 3.17, 4 Ca 3.26
Tl 0.7500 0.2500 0.5000  4 Tl 3.17, 4 Ca 3.26

3.
Here is Ni2AsIr at its PBEsol-relaxed geometry from Alexandria via LeMat-Bulk. Energies are from meta-GGA SCAN.

Values from the calculation:
E: -30.936 eV/atom
Energy of formation: -2.61 kJ/mol of atoms
SG: Pmm2, No. 25
DOS at the Fermi energy: 0.8176 states/eV/atom
Magnetization: 0.00 μB/f.u.
Crystal system: orthorhombic

Cell: 2.8266 4.0516 4.3550 Å, 90.00 90.00 90.00°
Last column: nearest neighbours and their distance in Å.
Fractional coordinates of all 4 atoms:
Ni 0.0000 0.0000 0.0000  2 Ni 2.45, 4 As 2.56, 4 Ir 2.57-2.62
Ni 0.0000 0.5000 0.3175  2 Ni 2.45, 4 As 2.49-2.70, 4 Ir 2.59
As 0.5000 0.5000 0.8461  8 Ni 2.49-2.70, 2 Ir 2.54
Ir 0.5000 0.0000 0.4925  2 As 2.54, 8 Ni 2.57-2.62, 2 Ir 2.83

4.
Here is TiFeP at its PBEsol-relaxed geometry from Alexandria via LeMat-Bulk. Energies are from meta-GGA SCAN.

Values from the calculation:
E: -15.887 eV/atom
Energy of formation: -99.75 kJ/mol of atoms
SG: Pnma, No. 62
DOS at the Fermi energy: 0.7914 states/eV/atom
Magnetization: 0.00 μB/f.u.
Crystal system: orthorhombic

Cell: 5.9277 3.5800 6.7156 Å, 90.00 90.00 90.00°
Last column: nearest neighbours and their distance in Å.
Fractional coordinates of all 12 atoms:
Ti 0.0202 0.2500 0.1819  5 P 2.53-2.54, 6 Fe 2.66-2.78
Ti 0.4798 0.7500 0.6819  5 P 2.53-2.54, 6 Fe 2.66-2.78
Ti 0.5202 0.2500 0.3181  5 P 2.53-2.54, 6 Fe 2.66-2.78
Ti 0.9798 0.7500 0.8181  5 P 2.53-2.54, 6 Fe 2.66-2.78
Fe 0.1488 0.2500 0.5610  4 P 2.21-2.27
Fe 0.3512 0.7500 0.0610  4 P 2.21-2.27
Fe 0.6488 0.2500 0.9390  4 P 2.21-2.27
Fe 0.8512 0.7500 0.4390  4 P 2.21-2.27
P 0.2239 0.7500 0.3793  4 Fe 2.21-2.27
P 0.2761 0.2500 0.8793  4 Fe 2.21-2.27
P 0.7239 0.7500 0.1207  4 Fe 2.21-2.27
P 0.7761 0.2500 0.6207  4 Fe 2.21-2.27

Q: What is the energy of formation in the first record?
A: 31.78 kJ/mol of atoms

Q: Number 4 is which compound?
A: TiFeP